Below is an optimized crystal structure of Tb4AgRhAu2, with properties calculated at the PBE level. Values from VASP.

Space group   R-3m
Total energy   -41.0 eV per formula unit
Total magnetization   0.0 μB/f.u.

Geometry as Quantum ESPRESSO input:
```
&SYSTEM
  ibrav = 0, nat = 8, ntyp = 4
/
ATOMIC_SPECIES
Tb 158.93 Tb.upf
Ag 107.87 Ag.upf
Au 196.97 Au.upf
Rh 102.91 Rh.upf
ATOMIC_POSITIONS angstrom
Tb -4.155 3.208 -2.874
Tb -9.062 0.417 -1.308
Tb -7.439 4.126 -3.925
Tb -5.778 -0.501 -0.256
Ag 0.000 0.000 0.000
Au -3.157 0.990 -1.092
Au -10.060 2.635 -3.089
Rh -6.608 1.813 -2.091
CELL_PARAMETERS angstrom
-2.594 4.352 -0.372
-2.151 1.306 -4.413
-8.473 -2.033 0.604
```